# LiBeSi2

A relaxed LiBeSi2 crystal (PBE, Alexandria).

a b c (Å): 3.044 3.044 5.926
angles (deg): 90.00 90.00 90.00
Atoms (fractional coordinates):
Be 0.500 0.500 0.250
Li 0.500 0.500 0.750
Si 0.000 0.000 0.047
Si 0.000 0.000 0.453

Values from the calculation:
For the formation energy from raw total energies, the calculation gives 200 meV/atom. Its space group is P4/mmm.